[1]
The following is a DFT calculation (PBE-GGA) of an optimized crystal structure of CaTb2Pm.

Lattice parameters (Å, degrees): 3.633 3.633 12.246 81.47 81.47 60.00
Positions (direct):
Tb1 0.254 0.254 0.239
Tb2 0.079 0.079 0.762
Ca1 0.501 0.501 0.498
Pm1 0.666 0.666 0.001

## Properties
size of the total moment: 0.00 μB/atom
density of states at the Fermi level: 1.522 states/eV/atom



[2]
The following is a DFT calculation (PBE-GGA) of an optimized crystal structure of CaTb3Pm3.

Lattice parameters (Å, degrees): 8.747 8.748 9.086 61.23 61.23 60.00
Positions (direct):
Tb1 0.718 0.172 0.176
Tb2 0.172 0.933 0.176
Tb3 0.828 0.067 0.824
Tb4 0.282 0.828 0.824
Tb5 0.933 0.718 0.177
Tb6 0.067 0.282 0.823
Ca1 0.655 0.655 0.036
Ca2 0.345 0.345 0.964
Pm1 0.933 0.270 0.367
Pm2 0.730 0.569 0.634
Pm3 0.067 0.730 0.633
Pm4 0.431 0.933 0.367
Pm5 0.270 0.431 0.366
Pm6 0.569 0.067 0.633

## Properties
size of the total moment: 0.00 μB/atom
density of states at the Fermi level: 1.606 states/eV/atom



[3]
The following is a DFT calculation (PBE-GGA) of an optimized crystal structure of CaTbPm4.

Lattice parameters (Å, degrees): 6.768 6.768 6.768 60.00 60.00 60.00
Positions (direct):
Pm1 0.120 0.627 0.627
Pm2 0.627 0.627 0.627
Pm3 0.627 0.627 0.120
Pm4 0.627 0.120 0.627
Ca1 0.250 0.250 0.250
Tb1 0.000 0.000 0.000

## Properties
size of the total moment: 0.00 μB/atom
density of states at the Fermi level: 1.474 states/eV/atom



[4]
The following is a DFT calculation (PBE-GGA) of an optimized crystal structure of CaTb7Pm3.

Lattice parameters (Å, degrees): 6.485 7.751 7.748 81.29 86.28 86.27
Positions (direct):
Tb1 0.000 0.500 0.500
Tb2 0.792 0.235 0.235
Tb3 0.743 0.915 0.574
Tb4 0.257 0.085 0.426
Tb5 0.257 0.426 0.085
Tb6 0.743 0.574 0.915
Tb7 0.208 0.765 0.765
Pm1 0.000 0.173 0.827
Pm2 0.500 0.000 0.000
Pm3 0.000 0.827 0.173
Ca1 0.500 0.500 0.500

## Properties
size of the total moment: 0.00 μB/atom
density of states at the Fermi level: 1.415 states/eV/atom



[5]
The following is a DFT calculation (PBE-GGA) of an optimized crystal structure of CaTb12Pm7.

Lattice parameters (Å, degrees): 9.869 9.869 9.869 109.47 109.47 109.47
Positions (direct):
Tb1 0.254 0.509 0.255
Tb2 0.746 0.000 0.255
Tb3 0.745 0.746 0.491
Tb4 0.491 0.745 0.746
Tb5 0.745 0.254 0.000
Tb6 0.000 0.745 0.254
Tb7 0.254 0.000 0.745
Tb8 0.746 0.491 0.745
Tb9 0.509 0.255 0.254
Tb10 0.255 0.746 0.000
Tb11 0.000 0.255 0.746
Tb12 0.255 0.254 0.509
Pm1 0.500 0.000 0.500
Pm2 0.000 0.500 0.000
Pm3 0.000 0.000 0.500
Pm4 0.500 0.000 0.000
Pm5 0.000 0.500 0.500
Pm6 0.500 0.500 0.000
Pm7 0.500 0.500 0.500
Ca1 0.000 0.000 0.000

## Properties
size of the total moment: 0.00 μB/atom
density of states at the Fermi level: 1.338 states/eV/atom



[6]
The following is a DFT calculation (PBE-GGA) of an optimized crystal structure of CaTb2Pm.

Lattice parameters (Å, degrees): 3.655 3.655 10.399 90.00 90.00 90.00
Positions (direct):
Ca1 0.500 0.500 0.500
Pm1 0.500 0.500 0.000
Tb1 0.000 0.000 0.767
Tb2 0.000 0.000 0.233

## Properties
size of the total moment: 0.00 μB/atom
density of states at the Fermi level: 1.524 states/eV/atom



[7]
The following is a DFT calculation (PBE-GGA) of an optimized crystal structure of CaTb2Pm6.

Lattice parameters (Å, degrees): 3.655 3.655 27.284 90.00 90.00 120.00
Positions (direct):
Ca1 0.667 0.333 0.000
Pm1 0.667 0.333 0.223
Pm2 0.667 0.333 0.777
Pm3 0.667 0.333 0.435
Pm4 0.667 0.333 0.565
Pm5 0.333 0.667 0.118
Pm6 0.333 0.667 0.882
Tb1 0.333 0.667 0.332
Tb2 0.333 0.667 0.668

## Properties
size of the total moment: 0.00 μB/atom
density of states at the Fermi level: 1.547 states/eV/atom



[8]
The following is a DFT calculation (PBE-GGA) of an optimized crystal structure of CaTb4Pm3.

Lattice parameters (Å, degrees): 6.263 12.529 7.274 90.00 90.00 70.70
Positions (direct):
Tb1 0.936 0.500 0.116
Tb2 0.936 0.000 0.127
Tb3 0.436 0.500 0.873
Tb4 0.437 0.246 0.119
Tb5 0.937 0.746 0.881
Tb6 0.436 0.000 0.884
Tb7 0.435 0.754 0.119
Tb8 0.935 0.254 0.881
Pm1 0.936 0.500 0.634
Pm2 0.445 0.751 0.629
Pm3 0.436 0.000 0.366
Pm4 0.945 0.251 0.371
Pm5 0.426 0.249 0.629
Pm6 0.926 0.749 0.371
Ca1 0.436 0.500 0.372
Ca2 0.936 0.000 0.628

## Properties
size of the total moment: 0.00 μB/atom
density of states at the Fermi level: 1.285 states/eV/atom



[9]
The following is a DFT calculation (PBE-GGA) of an optimized crystal structure of CaTbPm.

Lattice parameters (Å, degrees): 5.627 3.609 10.830 80.53 90.01 90.00
Positions (direct):
Tb1 0.477 0.181 0.585
Tb2 0.977 0.103 0.744
Ca1 0.977 0.938 0.073
Ca2 0.477 0.347 0.255
Pm1 0.977 0.747 0.451
Pm2 0.477 0.536 0.877

## Properties
size of the total moment: 0.00 μB/atom
density of states at the Fermi level: 1.425 states/eV/atom



[10]
The following is a DFT calculation (PBE-GGA) of an optimized crystal structure of CaTb5Pm8.

Lattice parameters (Å, degrees): 8.623 8.623 8.623 111.05 106.35 111.05
Positions (direct):
Pm1 0.725 0.254 0.329
Pm2 0.075 0.746 0.471
Pm3 0.575 0.918 0.837
Pm4 0.919 0.082 0.656
Pm5 0.344 0.263 0.425
Pm6 0.163 0.737 0.081
Pm7 0.671 0.396 0.925
Pm8 0.529 0.604 0.275
Tb1 0.037 0.315 0.132
Tb2 0.278 0.096 0.963
Tb3 0.817 0.685 0.722
Tb4 0.500 0.000 0.500
Tb5 0.868 0.904 0.183
Ca1 0.250 0.500 0.750

## Properties
size of the total moment: 0.00 μB/atom
density of states at the Fermi level: 1.520 states/eV/atom



[11]
The following is a DFT calculation (PBE-GGA) of an optimized crystal structure of CaTb8Pm3.

Lattice parameters (Å, degrees): 8.766 8.766 8.766 97.66 136.75 97.95
Positions (direct):
Pm1 0.500 0.259 0.759
Pm2 0.000 0.500 0.500
Pm3 0.500 0.741 0.241
Tb1 0.174 0.924 0.749
Tb2 0.826 0.575 0.749
Tb3 0.494 0.746 0.748
Tb4 0.506 0.253 0.252
Tb5 0.999 0.747 0.252
Tb6 0.001 0.254 0.748
Tb7 0.826 0.076 0.251
Tb8 0.174 0.425 0.251
Ca1 0.000 0.000 0.000

## Properties
size of the total moment: 0.00 μB/atom
density of states at the Fermi level: 1.488 states/eV/atom



[12]
The following is a DFT calculation (PBE-GGA) of an optimized crystal structure of CaTbPm2.

Lattice parameters (Å, degrees): 3.652 3.652 12.355 81.50 81.50 60.00
Positions (direct):
Pm1 0.255 0.255 0.236
Pm2 0.079 0.079 0.764
Ca1 0.500 0.500 0.499
Tb1 0.666 0.666 0.001

## Properties
size of the total moment: 0.00 μB/atom
density of states at the Fermi level: 1.336 states/eV/atom



[13]
The following is a DFT calculation (PBE-GGA) of an optimized crystal structure of CaTbPm.

Lattice parameters (Å, degrees): 3.681 3.681 8.270 102.86 102.86 90.00
Positions (direct):
Pm1 0.324 0.324 0.648
Tb1 0.675 0.675 0.350
Ca1 0.001 0.001 0.002

## Properties
size of the total moment: 0.00 μB/atom
density of states at the Fermi level: 1.288 states/eV/atom



[14]
The following is a DFT calculation (PBE-GGA) of an optimized crystal structure of CaTb4Pm7.

Lattice parameters (Å, degrees): 7.326 6.343 11.622 79.62 51.06 90.02
Positions (direct):
Pm1 0.500 0.000 0.000
Pm2 0.742 0.501 0.000
Pm3 0.083 0.283 0.663
Pm4 0.917 0.717 0.337
Pm5 0.341 0.774 0.659
Pm6 0.659 0.226 0.341
Pm7 0.258 0.499 0.000
Tb1 0.592 0.282 0.664
Tb2 0.832 0.780 0.668
Tb3 0.168 0.220 0.332
Tb4 0.408 0.718 0.336
Ca1 0.000 0.000 0.000

## Properties
size of the total moment: 0.00 μB/atom
density of states at the Fermi level: 1.286 states/eV/atom



[15]
The following is a DFT calculation (PBE-GGA) of an optimized crystal structure of CaTb3Pm4.

Lattice parameters (Å, degrees): 7.268 7.256 10.292 90.00 90.00 90.00
Positions (direct):
Pm1 0.000 0.314 0.000
Pm2 0.750 0.564 0.757
Pm3 0.500 0.814 0.000
Pm4 0.750 0.064 0.243
Pm5 0.500 0.814 0.500
Pm6 0.000 0.314 0.500
Pm7 0.250 0.564 0.757
Pm8 0.250 0.064 0.243
Ca1 0.000 0.814 0.500
Ca2 0.500 0.314 0.500
Tb1 0.750 0.064 0.757
Tb2 0.250 0.564 0.243
Tb3 0.500 0.314 0.000
Tb4 0.750 0.564 0.243
Tb5 0.000 0.814 0.000
Tb6 0.250 0.064 0.757

## Properties
size of the total moment: 0.00 μB/atom
density of states at the Fermi level: 1.419 states/eV/atom



[16]
The following is a DFT calculation (PBE-GGA) of an optimized crystal structure of CaTbPm3.

Lattice parameters (Å, degrees): 5.607 7.259 14.156 140.43 101.42 89.99
Positions (direct):
Pm1 0.608 0.321 0.216
Pm2 0.392 0.679 0.784
Pm3 0.799 0.146 0.598
Pm4 0.002 0.245 0.004
Pm5 0.201 0.854 0.402
Pm6 0.998 0.755 0.996
Tb1 0.199 0.350 0.399
Tb2 0.801 0.650 0.601
Ca1 0.609 0.825 0.217
Ca2 0.391 0.175 0.783

## Properties
size of the total moment: 0.00 μB/atom
density of states at the Fermi level: 1.732 states/eV/atom



[17]
The following is a DFT calculation (PBE-GGA) of an optimized crystal structure of Ca2Tb3Pm6.

Lattice parameters (Å, degrees): 3.647 3.647 33.223 86.85 86.85 60.00
Positions (direct):
Tb1 0.000 0.000 0.000
Tb2 0.274 0.274 0.177
Tb3 0.726 0.726 0.823
Ca1 0.547 0.547 0.360
Ca2 0.453 0.453 0.640
Pm1 0.912 0.912 0.263
Pm2 0.088 0.088 0.737
Pm3 0.637 0.637 0.088
Pm4 0.819 0.819 0.543
Pm5 0.181 0.181 0.457
Pm6 0.363 0.363 0.912

## Properties
size of the total moment: 0.00 μB/atom
density of states at the Fermi level: 1.239 states/eV/atom



[18]
The following is a DFT calculation (PBE-GGA) of an optimized crystal structure of CaTb3Pm5.

Lattice parameters (Å, degrees): 9.440 10.677 7.437 110.38 90.00 116.23
Positions (direct):
Tb1 0.823 0.637 0.069
Tb2 0.000 0.000 0.000
Tb3 0.814 0.637 0.569
Tb4 0.177 0.363 0.931
Tb5 0.186 0.363 0.431
Tb6 0.000 0.000 0.500
Pm1 0.487 0.328 0.673
Pm2 0.841 0.328 0.655
Pm3 0.159 0.672 0.827
Pm4 0.713 0.000 0.250
Pm5 0.159 0.672 0.345
Pm6 0.841 0.328 0.173
Pm7 0.513 0.672 0.327
Pm8 0.287 0.000 0.750
Pm9 0.513 0.672 0.845
Pm10 0.487 0.328 0.155
Ca1 0.656 0.000 0.750
Ca2 0.344 0.000 0.250

## Properties
size of the total moment: 0.00 μB/atom
density of states at the Fermi level: 1.202 states/eV/atom



[19]
The following is a DFT calculation (PBE-GGA) of an optimized crystal structure of Ca2Tb6Pm5.

Lattice parameters (Å, degrees): 3.580 12.125 20.624 90.00 90.00 90.00
Positions (direct):
Tb1 0.000 0.555 0.424
Tb2 0.500 0.683 0.882
Tb3 0.000 0.571 0.139
Tb4 0.500 0.183 0.618
Tb5 0.500 0.817 0.382
Tb6 0.000 0.055 0.076
Tb7 0.000 0.929 0.639
Tb8 0.000 0.071 0.361
Tb9 0.500 0.317 0.118
Tb10 0.000 0.445 0.576
Tb11 0.000 0.945 0.924
Tb12 0.000 0.429 0.861
Pm1 0.500 0.896 0.783
Pm2 0.500 0.000 0.500
Pm3 0.500 0.104 0.217
Pm4 0.500 0.206 0.949
Pm5 0.500 0.294 0.449
Pm6 0.500 0.794 0.051
Pm7 0.500 0.396 0.717
Pm8 0.500 0.500 0.000
Pm9 0.500 0.604 0.283
Pm10 0.500 0.706 0.551
Ca1 0.000 0.342 0.283
Ca2 0.000 0.658 0.717
Ca3 0.000 0.842 0.217
Ca4 0.000 0.158 0.783

## Properties
size of the total moment: 0.00 μB/atom
density of states at the Fermi level: 1.595 states/eV/atom



[20]
The following is a DFT calculation (PBE-GGA) of an optimized crystal structure of CaTb4Pm6.

Lattice parameters (Å, degrees): 8.568 8.568 8.568 82.23 124.58 124.58
Positions (direct):
Pm1 0.333 0.592 0.592
Pm2 0.500 0.000 0.500
Pm3 0.667 0.259 0.259
Pm4 0.000 0.741 0.408
Pm5 0.500 0.500 0.000
Pm6 0.000 0.408 0.741
Tb1 0.478 0.928 0.928
Tb2 0.522 0.450 0.450
Tb3 0.000 0.550 0.072
Tb4 0.000 0.072 0.550
Ca1 0.000 0.000 0.000

## Properties
size of the total moment: 0.00 μB/atom
density of states at the Fermi level: 1.135 states/eV/atom



| no. | formation energy from the elements (eV per atom) |
| --- | --- |
| 1 | 0.06 |
| 2 | 0.22 |
| 3 | 0.21 |
| 4 | 0.23 |
| 5 | 0.61 |
| 6 | 0.07 |
| 7 | 0.06 |
| 8 | 0.05 |
| 9 | 0.04 |
| 10 | 0.24 |
| 11 | 0.32 |
| 12 | 0.04 |
| 13 | 0.05 |
| 14 | 0.02 |
| 15 | 0.05 |
| 16 | 0.10 |
| 17 | 0.03 |
| 18 | 0.14 |
| 19 | 0.13 |
| 20 | 0.41 |